1.
CaAc4 | GGA-PBE | relaxed

Calculated values
Uncorrected energy = -3.673 eV per atom
DFT formation energy = 0.01 eV per atom

Structure (CIF):
```
data_CaAc4
_chemical_formula_sum 'Ca2 Ac8'
_cell_length_a 6.8892
_cell_length_b 3.9797
_cell_length_c 16.4337
_cell_angle_alpha 90.00
_cell_angle_beta 97.98
_cell_angle_gamma 90.00
_space_group_name_H-M_alt 'C 1 2/m 1'
_space_group_IT_number 12
_space_group_name_Hall '-C 2y'
loop_
_atom_site_label
_atom_site_fract_x
_atom_site_fract_y
_atom_site_fract_z
_atom_site_occupancy
Ca1 0.0000 0.0000 0.0000 1
Ac1 0.0997 0.5000 0.7993 1
Ac2 0.2011 0.0000 0.6018 1
```



2.
Ca3Ac7 | GGA-PBE | relaxed

Calculated values
Uncorrected energy = -3.441 eV per atom
DFT formation energy = 0.04 eV per atom

Structure (CIF):
```
data_Ca3Ac7
_chemical_formula_sum 'Ca6 Ac14'
_cell_length_a 20.1588
_cell_length_b 5.6110
_cell_length_c 7.9018
_cell_angle_alpha 90.00
_cell_angle_beta 100.80
_cell_angle_gamma 90.00
_space_group_name_H-M_alt 'C 1 2/m 1'
_space_group_IT_number 12
_space_group_name_Hall '-C 2y'
loop_
_atom_site_label
_atom_site_fract_x
_atom_site_fract_y
_atom_site_fract_z
_atom_site_occupancy
Ca1 0.0000 0.0000 0.0000 1
Ca2 0.2009 0.0000 0.5999 1
Ac1 0.0000 0.0000 0.5000 1
Ac2 0.0983 0.5000 0.3000 1
Ac3 0.1012 0.5000 0.7991 1
Ac4 0.2008 0.0000 0.0949 1
```



3.
CaAc2Cd3 | GGA-PBE | relaxed

Calculated values
Uncorrected energy = -2.477 eV per atom
DFT formation energy = -0.32 eV per atom

Structure (CIF):
```
data_CaAc2Cd3
_chemical_formula_sum 'Ca1 Ac2 Cd3'
_cell_length_a 4.0088
_cell_length_b 4.0088
_cell_length_c 12.0137
_cell_angle_alpha 90.00
_cell_angle_beta 90.00
_cell_angle_gamma 90.00
_space_group_name_H-M_alt 'P 4/m m m'
_space_group_IT_number 123
_space_group_name_Hall '-P 4 2'
loop_
_atom_site_label
_atom_site_fract_x
_atom_site_fract_y
_atom_site_fract_z
_atom_site_occupancy
Ca1 0.0000 0.0000 0.0000 1
Ac1 0.0000 0.0000 0.3283 1
Cd1 0.5000 0.5000 0.1515 1
Cd2 0.5000 0.5000 0.5000 1
```



4.
Ca2AcCd2 | GGA-PBE | relaxed

Calculated values
Uncorrected energy = -2.233 eV per atom
DFT formation energy = -0.24 eV per atom

Structure (CIF):
```
data_Ca2AcCd2
_chemical_formula_sum 'Ca4 Ac2 Cd4'
_cell_length_a 3.9156
_cell_length_b 5.7636
_cell_length_c 14.7883
_cell_angle_alpha 90.00
_cell_angle_beta 97.66
_cell_angle_gamma 90.00
_space_group_name_H-M_alt 'P 1 21/m 1'
_space_group_IT_number 11
_space_group_name_Hall '-P 2yb'
loop_
_atom_site_label
_atom_site_fract_x
_atom_site_fract_y
_atom_site_fract_z
_atom_site_occupancy
Ca1 0.0464 0.2500 0.0919 1
Ca2 0.2297 0.2500 0.4598 1
Ac1 0.1439 0.7500 0.2852 1
Cd1 0.3611 0.7500 0.7241 1
Cd2 0.4545 0.2500 0.9086 1
```



5.
CaAc2Cd2 | GGA-PBE | relaxed

Calculated values
Uncorrected energy = -2.565 eV per atom
DFT formation energy = -0.16 eV per atom

Structure (CIF):
```
data_CaAc2Cd2
_chemical_formula_sum 'Ca2 Ac4 Cd4'
_cell_length_a 4.0385
_cell_length_b 5.3799
_cell_length_c 16.3562
_cell_angle_alpha 90.00
_cell_angle_beta 97.05
_cell_angle_gamma 90.00
_space_group_name_H-M_alt 'P 1 21/m 1'
_space_group_IT_number 11
_space_group_name_Hall '-P 2yb'
loop_
_atom_site_label
_atom_site_fract_x
_atom_site_fract_y
_atom_site_fract_z
_atom_site_occupancy
Ca1 0.1337 0.2500 0.2661 1
Ac1 0.2670 0.7500 0.5349 1
Ac2 0.4393 0.2500 0.8805 1
Cd1 0.0284 0.2500 0.0570 1
Cd2 0.3332 0.2500 0.6656 1
```



6.
CaAcCd2 | GGA-PBE | relaxed

Calculated values
Uncorrected energy = -2.317 eV per atom
DFT formation energy = -0.33 eV per atom

Structure (CIF):
```
data_CaAcCd2
_chemical_formula_sum 'Ca1 Ac1 Cd2'
_cell_length_a 5.6642
_cell_length_b 5.6642
_cell_length_c 3.9403
_cell_angle_alpha 90.00
_cell_angle_beta 90.00
_cell_angle_gamma 90.00
_space_group_name_H-M_alt 'P 4/m m m'
_space_group_IT_number 123
_space_group_name_Hall '-P 4 2'
loop_
_atom_site_label
_atom_site_fract_x
_atom_site_fract_y
_atom_site_fract_z
_atom_site_occupancy
Ca1 0.0000 0.0000 0.0000 1
Ac1 0.5000 0.5000 0.0000 1
Cd1 0.0000 0.5000 0.5000 1
```



7.
Ca2AcCd2 | GGA-PBE | relaxed

Calculated values
Uncorrected energy = -2.163 eV per atom
DFT formation energy = -0.18 eV per atom

Structure (CIF):
```
data_Ca2AcCd2
_chemical_formula_sum 'Ca4 Ac2 Cd4'
_cell_length_a 5.9588
_cell_length_b 3.9602
_cell_length_c 14.5245
_cell_angle_alpha 90.00
_cell_angle_beta 95.03
_cell_angle_gamma 90.00
_space_group_name_H-M_alt 'P 1 21/m 1'
_space_group_IT_number 11
_space_group_name_Hall '-P 2yb'
loop_
_atom_site_label
_atom_site_fract_x
_atom_site_fract_y
_atom_site_fract_z
_atom_site_occupancy
Ca1 0.1678 0.2500 0.1133 1
Ca2 0.2535 0.7500 0.5168 1
Ac1 0.2999 0.2500 0.7493 1
Cd1 0.2252 0.2500 0.3378 1
Cd2 0.3433 0.7500 0.9491 1
```



8.
CaAc5Cd6 | GGA-PBE | relaxed

Calculated values
Uncorrected energy = -2.643 eV per atom
DFT formation energy = -0.31 eV per atom

Structure (CIF):
```
data_CaAc5Cd6
_chemical_formula_sum 'Ca2 Ac10 Cd12'
_cell_length_a 5.7085
_cell_length_b 17.1953
_cell_length_c 8.0949
_cell_angle_alpha 90.00
_cell_angle_beta 90.00
_cell_angle_gamma 90.00
_space_group_name_H-M_alt 'C m m m'
_space_group_IT_number 65
_space_group_name_Hall '-C 2 2'
loop_
_atom_site_label
_atom_site_fract_x
_atom_site_fract_y
_atom_site_fract_z
_atom_site_occupancy
Ca1 0.0000 0.0000 0.0000 1
Ac1 0.0000 0.0000 0.5000 1
Ac2 0.0000 0.3310 0.5000 1
Ac3 0.0000 0.3349 0.0000 1
Cd1 0.0000 0.1623 0.2443 1
Cd2 0.0000 0.5000 0.2409 1
```



9.
CaAc2Cd2 | GGA-PBE | relaxed

Calculated values
Uncorrected energy = -2.561 eV per atom
DFT formation energy = -0.15 eV per atom

Structure (CIF):
```
data_CaAc2Cd2
_chemical_formula_sum 'Ca1 Ac2 Cd2'
_cell_length_a 5.5062
_cell_length_b 5.5062
_cell_length_c 6.9883
_cell_angle_alpha 90.00
_cell_angle_beta 90.00
_cell_angle_gamma 120.00
_space_group_name_H-M_alt 'P -3 m 1'
_space_group_IT_number 164
_space_group_name_Hall '-P 3 2"'
loop_
_atom_site_label
_atom_site_fract_x
_atom_site_fract_y
_atom_site_fract_z
_atom_site_occupancy
Ca1 0.0000 0.0000 0.0000 1
Ac1 0.3333 0.6667 0.6629 1
Cd1 0.3333 0.6667 0.1507 1
```



10.
Ca3AcCd4 | GGA-PBE | relaxed

Calculated values
Uncorrected energy = -2.069 eV per atom
DFT formation energy = -0.35 eV per atom

Structure (CIF):
```
data_Ca3AcCd4
_chemical_formula_sum 'Ca6 Ac2 Cd8'
_cell_length_a 11.1887
_cell_length_b 7.6466
_cell_length_c 5.5916
_cell_angle_alpha 90.00
_cell_angle_beta 90.00
_cell_angle_gamma 90.00
_space_group_name_H-M_alt 'P m m a'
_space_group_IT_number 51
_space_group_name_Hall '-P 2a 2a'
loop_
_atom_site_label
_atom_site_fract_x
_atom_site_fract_y
_atom_site_fract_z
_atom_site_occupancy
Ca1 0.0000 0.0000 0.0000 1
Ca2 0.2500 0.0000 0.4982 1
Ca3 0.2500 0.5000 0.4988 1
Ac1 0.0000 0.5000 0.0000 1
Cd1 0.0000 0.2377 0.5000 1
Cd2 0.2500 0.2377 0.9979 1
```



11.
CaAc3Cd4 | GGA-PBE | relaxed

Calculated values
Uncorrected energy = -2.567 eV per atom
DFT formation energy = -0.32 eV per atom

Structure (CIF):
```
data_CaAc3Cd4
_chemical_formula_sum 'Ca1 Ac3 Cd4'
_cell_length_a 5.6902
_cell_length_b 5.6902
_cell_length_c 8.0795
_cell_angle_alpha 90.00
_cell_angle_beta 90.00
_cell_angle_gamma 90.00
_space_group_name_H-M_alt 'P 4/m m m'
_space_group_IT_number 123
_space_group_name_Hall '-P 4 2'
loop_
_atom_site_label
_atom_site_fract_x
_atom_site_fract_y
_atom_site_fract_z
_atom_site_occupancy
Ca1 0.0000 0.0000 0.0000 1
Ac1 0.0000 0.0000 0.5000 1
Ac2 0.5000 0.5000 0.0000 1
Ac3 0.5000 0.5000 0.5000 1
Cd1 0.0000 0.5000 0.2398 1
```



12.
Ca6AcCd2 | GGA-PBE | relaxed

Calculated values
Uncorrected energy = -2.129 eV per atom
DFT formation energy = -0.13 eV per atom

Structure (CIF):
```
data_Ca6AcCd2
_chemical_formula_sum 'Ca12 Ac2 Cd4'
_cell_length_a 13.6337
_cell_length_b 3.9210
_cell_length_c 13.1602
_cell_angle_alpha 90.00
_cell_angle_beta 109.74
_cell_angle_gamma 90.00
_space_group_name_H-M_alt 'C 1 2/m 1'
_space_group_IT_number 12
_space_group_name_Hall '-C 2y'
loop_
_atom_site_label
_atom_site_fract_x
_atom_site_fract_y
_atom_site_fract_z
_atom_site_occupancy
Ca1 0.0314 0.0000 0.3241 1
Ca2 0.1762 0.5000 0.5863 1
Ca3 0.1898 0.5000 0.8746 1
Ac1 0.0000 0.0000 0.0000 1
Cd1 0.1634 0.5000 0.2171 1
```



13.
Ca3AcCd | GGA-PBE | relaxed

Calculated values
Uncorrected energy = -2.213 eV per atom
DFT formation energy = -0.01 eV per atom

Structure (CIF):
```
data_Ca3AcCd
_chemical_formula_sum 'Ca12 Ac4 Cd4'
_cell_length_a 12.7282
_cell_length_b 9.2817
_cell_length_c 8.3345
_cell_angle_alpha 90.00
_cell_angle_beta 124.68
_cell_angle_gamma 90.00
_space_group_name_H-M_alt 'C 1 2/m 1'
_space_group_IT_number 12
_space_group_name_Hall '-C 2y'
loop_
_atom_site_label
_atom_site_fract_x
_atom_site_fract_y
_atom_site_fract_z
_atom_site_occupancy
Ca1 0.0748 0.0000 0.2653 1
Ca2 0.1973 0.2083 0.7242 1
Ac1 0.0430 0.5000 0.2975 1
Cd1 0.2250 0.0000 0.0550 1
```



14.
CaAc4Cd | GGA-PBE | relaxed

Calculated values
Uncorrected energy = -2.900 eV per atom
DFT formation energy = 0.33 eV per atom

Structure (CIF):
```
data_CaAc4Cd
_chemical_formula_sum 'Ca4 Ac16 Cd4'
_cell_length_a 10.2457
_cell_length_b 10.2457
_cell_length_c 10.2457
_cell_angle_alpha 90.00
_cell_angle_beta 90.00
_cell_angle_gamma 90.00
_space_group_name_H-M_alt 'F -4 3 m'
_space_group_IT_number 216
_space_group_name_Hall 'F -4 2 3'
loop_
_atom_site_label
_atom_site_fract_x
_atom_site_fract_y
_atom_site_fract_z
_atom_site_occupancy
Ca1 0.0000 0.0000 0.0000 1
Ac1 0.1245 0.1245 0.6245 1
Cd1 0.2500 0.2500 0.2500 1
```



15.
CaAcCd | GGA-PBE | relaxed

Calculated values
Uncorrected energy = -2.537 eV per atom
DFT formation energy = -0.20 eV per atom

Structure (CIF):
```
data_CaAcCd
_chemical_formula_sum 'Ca2 Ac2 Cd2'
_cell_length_a 3.8751
_cell_length_b 3.8751
_cell_length_c 14.1675
_cell_angle_alpha 90.00
_cell_angle_beta 90.00
_cell_angle_gamma 90.00
_space_group_name_H-M_alt 'I 4 m m'
_space_group_IT_number 107
_space_group_name_Hall 'I 4 -2'
loop_
_atom_site_label
_atom_site_fract_x
_atom_site_fract_y
_atom_site_fract_z
_atom_site_occupancy
Ca1 0.0000 0.0000 0.0000 1
Ac1 0.0000 0.0000 0.2863 1
Cd1 0.0000 0.0000 0.6313 1
```



16.
CaAc2Cd | GGA-PBE | relaxed

Calculated values
Uncorrected energy = -2.845 eV per atom
DFT formation energy = -0.06 eV per atom

Structure (CIF):
```
data_CaAc2Cd
_chemical_formula_sum 'Ca4 Ac8 Cd4'
_cell_length_a 8.4216
_cell_length_b 8.4216
_cell_length_c 8.4216
_cell_angle_alpha 90.00
_cell_angle_beta 90.00
_cell_angle_gamma 90.00
_space_group_name_H-M_alt 'F m -3 m'
_space_group_IT_number 225
_space_group_name_Hall '-F 4 2 3'
loop_
_atom_site_label
_atom_site_fract_x
_atom_site_fract_y
_atom_site_fract_z
_atom_site_occupancy
Ca1 0.0000 0.0000 0.0000 1
Ac1 0.2500 0.2500 0.2500 1
Cd1 0.0000 0.0000 0.5000 1
```



17.
Ca2Ac2Cd15 | GGA-PBE | relaxed

Calculated values
Uncorrected energy = -1.574 eV per atom
DFT formation energy = -0.21 eV per atom

Structure (CIF):
```
data_Ca2Ac2Cd15
_chemical_formula_sum 'Ca6 Ac6 Cd45'
_cell_length_a 10.3190
_cell_length_b 10.3190
_cell_length_c 15.8369
_cell_angle_alpha 90.00
_cell_angle_beta 90.00
_cell_angle_gamma 120.00
_space_group_name_H-M_alt 'R -3 m'
_space_group_IT_number 166
_space_group_name_Hall '-R 3 2"'
loop_
_atom_site_label
_atom_site_fract_x
_atom_site_fract_y
_atom_site_fract_z
_atom_site_occupancy
Ca1 0.0000 0.0000 0.1017 1
Ac1 0.0000 0.0000 0.3395 1
Cd1 0.0000 0.2936 0.0000 1
Cd2 0.0000 0.5000 0.5000 1
Cd3 0.0112 0.5056 0.1422 1
```



18.
CaAc2Cd | GGA-PBE | relaxed

Calculated values
Uncorrected energy = -2.556 eV per atom
DFT formation energy = 0.23 eV per atom

Structure (CIF):
```
data_CaAc2Cd
_chemical_formula_sum 'Ca3 Ac6 Cd3'
_cell_length_a 3.8354
_cell_length_b 3.8354
_cell_length_c 40.0173
_cell_angle_alpha 90.00
_cell_angle_beta 90.00
_cell_angle_gamma 120.00
_space_group_name_H-M_alt 'R -3 m'
_space_group_IT_number 166
_space_group_name_Hall '-R 3 2"'
loop_
_atom_site_label
_atom_site_fract_x
_atom_site_fract_y
_atom_site_fract_z
_atom_site_occupancy
Ca1 0.0000 0.0000 0.0000 1
Ac1 0.0000 0.0000 0.4135 1
Cd1 0.0000 0.0000 0.5000 1
```



19.
CaAc4Cd3 | GGA-PBE | relaxed

Calculated values
Uncorrected energy = -2.840 eV per atom
DFT formation energy = -0.19 eV per atom

Structure (CIF):
```
data_CaAc4Cd3
_chemical_formula_sum 'Ca3 Ac12 Cd9'
_cell_length_a 5.8500
_cell_length_b 5.8500
_cell_length_c 28.7777
_cell_angle_alpha 90.00
_cell_angle_beta 90.00
_cell_angle_gamma 120.00
_space_group_name_H-M_alt 'R -3 m'
_space_group_IT_number 166
_space_group_name_Hall '-R 3 2"'
loop_
_atom_site_label
_atom_site_fract_x
_atom_site_fract_y
_atom_site_fract_z
_atom_site_occupancy
Ca1 0.0000 0.0000 0.0000 1
Ac1 0.0000 0.0000 0.1297 1
Ac2 0.0000 0.0000 0.3815 1
Cd1 0.0000 0.0000 0.2584 1
Cd2 0.0000 0.0000 0.5000 1
```



20.
Ca3Ac2Cd2 | GGA-PBE | relaxed

Calculated values
Uncorrected energy = -2.422 eV per atom
DFT formation energy = -0.13 eV per atom

Structure (CIF):
```
data_Ca3Ac2Cd2
_chemical_formula_sum 'Ca6 Ac4 Cd4'
_cell_length_a 3.8873
_cell_length_b 33.9643
_cell_length_c 3.8939
_cell_angle_alpha 90.00
_cell_angle_beta 90.00
_cell_angle_gamma 90.00
_space_group_name_H-M_alt 'C m m m'
_space_group_IT_number 65
_space_group_name_Hall '-C 2 2'
loop_
_atom_site_label
_atom_site_fract_x
_atom_site_fract_y
_atom_site_fract_z
_atom_site_occupancy
Ca1 0.0000 0.0000 0.0000 1
Ca2 0.0000 0.4177 0.5000 1
Ac1 0.0000 0.3006 0.5000 1
Cd1 0.0000 0.1352 0.0000 1
```